No. 1
Compound: GaNi7As2
Source: Alexandria
Functional: GGA-PBE
Structure: relaxed

Unit cell a=3.669 b=3.669 c=18.939 alpha=90.00 beta=90.00 gamma=90.00
Space group I4/mmm (No. 139)
Symmetry-distinct sites (fractional):
1 Ga 0.000 0.000 0.000
2 Ni 0.000 0.000 0.500
3 Ni 0.000 0.500 0.092
4 Ni 0.000 0.500 0.250
5 As 0.000 0.000 0.330

Summary:
Formation enthalpy at 0 K = -0.2584 eV per atom
DOS at the Fermi energy = 8.304 states/eV/cell

No. 2
Compound: GaNi8As2
Source: Alexandria
Functional: GGA-PBE
Structure: relaxed

Unit cell a=13.311 b=3.679 c=5.782 alpha=90.00 beta=111.60 gamma=90.00
Space group C2/m (No. 12)
Symmetry-distinct sites (fractional):
1 Ga 0.000 0.000 0.000
2 Ni 0.035 0.500 0.747
3 Ni 0.088 0.000 0.462
4 Ni 0.159 0.500 0.234
5 Ni 0.175 0.000 0.932
6 As 0.196 0.500 0.671

Summary:
Formation enthalpy at 0 K = -0.2289 eV per atom
DOS at the Fermi energy = 17.795 states/eV/cell
Relative energy among the computed polymorphs = 8.6 meV per atom

No. 3
Compound: Ga2Ni21As6
Source: Alexandria
Functional: GGA-PBE
Structure: relaxed

Unit cell a=11.367 b=11.367 c=11.367 alpha=90.00 beta=90.00 gamma=90.00
Space group Fm-3m (No. 225)
Symmetry-distinct sites (fractional):
1 Ga 0.250 0.250 0.250
2 Ni 0.000 0.000 0.000
3 Ni 0.000 0.175 0.175
4 Ni 0.126 0.126 0.374
5 As 0.000 0.000 0.269

Summary:
Formation enthalpy at 0 K = -0.1370 eV per atom
DOS at the Fermi energy = 103.400 states/eV/cell

No. 4
Compound: GaNi4As
Source: Alexandria
Functional: GGA-PBE
Structure: relaxed

Unit cell a=4.860 b=6.861 c=4.729 alpha=90.00 beta=110.28 gamma=90.00
Space group P2_1/c (No. 14)
Symmetry-distinct sites (fractional):
1 Ga 0.000 0.000 0.000
2 Ni 0.125 0.162 0.600
3 Ni 0.378 0.670 0.371
4 As 0.500 0.000 0.500

Summary:
Formation enthalpy at 0 K = -0.2024 eV per atom
DOS at the Fermi energy = 8.420 states/eV/cell

No. 5
Compound: Ga6Ni12As
Source: Alexandria
Functional: GGA-PBE
Structure: relaxed

Unit cell a=9.9712 b=9.9712 c=8.4145 alpha=90.00 beta=90.00 gamma=120.00
Space group R-3 (No. 148, hexagonal axes)
Symmetry-distinct sites (fractional):
1 Ga 0.0889 0.9048 0.2312
2 Ni 0.0021 0.7449 0.5000
3 Ni 0.0689 0.5372 0.6162
4 As 0.0000 0.0000 0.5000

Summary:
Formation enthalpy at 0 K = -0.1169 eV per atom
DOS at the Fermi energy = 52.592 states/eV/cell

No. 6
Compound: Ga4Ni15As
Source: Alexandria
Functional: GGA-PBE
Structure: relaxed

Unit cell a=3.582 b=3.582 c=17.921 alpha=90.00 beta=90.00 gamma=90.00
Space group P4/mmm (No. 123)
Symmetry-distinct sites (fractional):
1 Ga 0.000 0.000 0.100
2 Ga 0.000 0.000 0.298
3 Ni 0.000 0.500 0.000
4 Ni 0.000 0.500 0.200
5 Ni 0.000 0.500 0.400
6 Ni 0.500 0.500 0.100
7 Ni 0.500 0.500 0.301
8 Ni 0.500 0.500 0.500
9 As 0.000 0.000 0.500

Summary:
Formation enthalpy at 0 K = -0.2727 eV per atom
DOS at the Fermi energy = 20.316 states/eV/cell

No. 7
Compound: Ga3NiAs
Source: Alexandria
Functional: GGA-PBE
Structure: relaxed

Unit cell a=4.579 b=4.579 c=4.579 alpha=90.00 beta=90.00 gamma=90.00
Space group Pm-3m (No. 221)
Symmetry-distinct sites (fractional):
1 Ga 0.000 0.000 0.500
2 Ni 0.000 0.000 0.000
3 As 0.500 0.500 0.500

Summary:
Formation enthalpy at 0 K = 0.0726 eV per atom
DOS at the Fermi energy = 3.407 states/eV/cell
Relative energy among the computed polymorphs = 0.0 meV per atom

No. 8
Compound: Ga2NiAs2
Source: Alexandria
Functional: GGA-PBE
Structure: relaxed

Unit cell a=5.944 b=5.944 c=5.514 alpha=90.00 beta=90.00 gamma=90.00
Space group P4/mbm (No. 127)
Symmetry-distinct sites (fractional):
1 Ga 0.192 0.308 0.000
2 Ni 0.000 0.000 0.500
3 As 0.145 0.355 0.500

Summary:
Formation enthalpy at 0 K = -0.0089 eV per atom
DOS at the Fermi energy = 4.509 states/eV/cell

No. 9
Compound: GaNiAs2
Source: Alexandria
Functional: GGA-PBE
Structure: relaxed

Unit cell a=5.385 b=5.385 c=11.661 alpha=90.00 beta=90.00 gamma=90.00
Space group I-42d (No. 122)
Symmetry-distinct sites (fractional):
1 Ga 0.000 0.000 0.000
2 Ni 0.000 0.000 0.500
3 As 0.212 0.250 0.625

Summary:
Formation enthalpy at 0 K = -0.0929 eV per atom
DOS at the Fermi energy = 10.961 states/eV/cell

No. 10
Compound: GaNi5As2
Source: Alexandria
Functional: GGA-PBE
Structure: relaxed

Unit cell a=3.658 b=5.075 c=11.234 alpha=90.00 beta=90.00 gamma=90.00
Space group Immm (No. 71)
Symmetry-distinct sites (fractional):
1 Ga 0.000 0.000 0.000
2 Ni 0.000 0.249 0.384
3 Ni 0.000 0.500 0.000
4 As 0.000 0.500 0.208

Summary:
Formation enthalpy at 0 K = -0.2891 eV per atom
DOS at the Fermi energy = 12.497 states/eV/cell

No. 11
Compound: GaNi8As2
Source: Alexandria
Functional: GGA-PBE
Structure: relaxed

Unit cell a=3.670 b=6.565 c=10.996 alpha=90.00 beta=90.00 gamma=90.00
Space group Immm (No. 71)
Symmetry-distinct sites (fractional):
1 Ga 0.000 0.000 0.000
2 Ni 0.000 0.208 0.500
3 Ni 0.000 0.269 0.165
4 Ni 0.000 0.500 0.350
5 As 0.000 0.000 0.322

Summary:
Formation enthalpy at 0 K = -0.2375 eV per atom
DOS at the Fermi energy = 8.334 states/eV/cell
Relative energy among the computed polymorphs = 0.0 meV per atom

No. 12
Compound: Np2GaNi4As3
Source: Alexandria
Functional: GGA-PBE
Structure: relaxed

Unit cell a=4.072 b=4.072 c=9.704 alpha=90.00 beta=90.00 gamma=90.00
Space group P-4m2 (No. 115)
Symmetry-distinct sites (fractional):
1 Np 0.000 0.500 0.245
2 Ga 0.000 0.000 0.500
3 Ni 0.000 0.000 0.000
4 Ni 0.000 0.500 0.628
5 Ni 0.500 0.500 0.000
6 As 0.000 0.500 0.867
7 As 0.500 0.500 0.500

Summary:
Formation enthalpy at 0 K = -0.4790 eV per atom
DOS at the Fermi energy = 21.538 states/eV/cell

One value per record, in order, for ρ: 8.21; 8.69; 8.24; 8.52; 8.23; 8.91; 5.93; 5.93; 5.46; 8.17; 8.64; 10.35 g/cm³.
One value per record, in order, for calculated volume: 12.7; 12.0; 12.7; 12.3; 12.7; 11.5; 19.2; 19.5; 21.1; 13.0; 12.0; 16.1 Å³ per atom.